Entry 1:
Entry from Alexandria: crystalline Pa2GeBi at its relaxed geometry (PBE-GGA).

Total energy = -28.63 eV/cell
ΔE to the lowest computed polymorph = 0.00 eV per formula unit
ΔE_f = -0.285 eV/atom
Size of the total moment = 0.00 μB per cell
Symmetry = R-3m (166)

Structure (POSCAR):
```
Pa2GeBi
1.0
-0.660 -3.196 -2.712
3.294 -1.902 -1.880
1.270 -6.385 3.896
Ge Pa Bi
1 2 1
Direct
0.000 0.000 0.000
0.261 0.261 0.216
0.739 0.739 0.784
0.500 0.500 0.500
```

***

Entry 2:
Entry from Alexandria: crystalline GeBi2Pb at its relaxed geometry (PBE-GGA).

Total energy = -15.46 eV/cell
ΔE_f = 0.157 eV/atom
Size of the total moment = 0.00 μB per cell
Symmetry = Cm (8)

Structure (POSCAR):
```
GeBi2Pb
1.0
-1.586 -2.251 3.155
2.497 -2.672 2.041
2.302 4.237 6.833
Ge Bi Pb
1 2 1
Direct
0.666 0.666 0.000
0.070 0.070 0.784
0.261 0.261 0.215
0.503 0.503 0.500
```

***

Entry 3:
Entry from Alexandria: crystalline GeBiPb2 at its relaxed geometry (PBE-GGA).

Total energy = -15.29 eV/cell
ΔE to the lowest computed polymorph = 0.04 eV per formula unit
ΔE_f = 0.157 eV/atom
Size of the total moment = 0.00 μB per cell
Symmetry = R3m (160)

Structure (POSCAR):
```
GeBiPb2
1.0
-3.687 2.960 1.893
-4.781 -0.497 -1.684
-3.855 -3.076 4.152
Ge Bi Pb
1 1 2
Direct
0.667 0.667 0.999
0.499 0.499 0.502
0.067 0.067 0.799
0.266 0.266 0.201
```

***

Entry 4:
Entry from Alexandria: crystalline Ge2Bi2Pb at its relaxed geometry (PBE-GGA).

Total energy = -19.68 eV/cell
ΔE to the lowest computed polymorph = 0.05 eV per formula unit
ΔE_f = 0.204 eV/atom
Size of the total moment = 0.00 μB per cell
Symmetry = I4/mmm (139)

Structure (POSCAR):
```
Ge2Bi2Pb
1.0
5.663 0.000 0.000
0.000 5.663 0.000
2.831 2.831 4.489
Pb Ge Bi
1 2 2
Direct
0.000 0.000 0.000
0.359 0.359 0.282
0.641 0.641 0.718
0.750 0.250 0.500
0.250 0.750 0.500
```

***

Entry 5:
Entry from Alexandria: crystalline Ge2BiPb2 at its relaxed geometry (PBE-GGA).

Total energy = -19.79 eV/cell
ΔE to the lowest computed polymorph = 0.00 eV per formula unit
ΔE_f = 0.149 eV/atom
Size of the total moment = 0.00 μB per cell
Symmetry = I4/mmm (139)

Structure (POSCAR):
```
Ge2BiPb2
1.0
-1.034 -3.551 0.988
0.719 -1.201 -3.563
8.899 -4.322 1.196
Pb Ge Bi
2 2 1
Direct
0.385 0.385 0.230
0.615 0.615 0.770
0.750 0.250 0.500
0.250 0.750 0.500
0.000 0.000 0.000
```

***

Entry 6:
Entry from Alexandria: crystalline GeBiPb3 at its relaxed geometry (PBE-GGA).

Total energy = -17.77 eV/cell
ΔE to the lowest computed polymorph = 0.00 eV per formula unit
ΔE_f = 0.371 eV/atom
Size of the total moment = 0.00 μB per cell
Symmetry = Pm-3m (221)

Structure (POSCAR):
```
GeBiPb3
1.0
-0.141 0.907 5.492
-5.514 -0.774 -0.014
0.761 -5.439 0.918
Pb Ge Bi
3 1 1
Direct
0.000 0.500 0.000
0.000 0.000 0.500
0.500 0.000 0.000
0.000 0.000 0.000
0.500 0.500 0.500
```

***

Entry 7:
Entry from Alexandria: crystalline Ge2Bi2Pb at its relaxed geometry (PBE-GGA).

Total energy = -39.26 eV/cell
ΔE to the lowest computed polymorph = 0.10 eV per formula unit
ΔE_f = 0.215 eV/atom
Size of the total moment = 0.00 μB per cell
Symmetry = P4/mbm (127)

Structure (POSCAR):
```
Ge2Bi2Pb
1.0
-8.211 -1.749 -0.727
1.119 -7.091 4.414
-0.697 1.917 3.257
Pb Ge Bi
2 4 4
Direct
0.000 0.000 0.000
0.500 0.500 0.000
0.382 0.882 0.000
0.882 0.618 0.000
0.618 0.118 0.000
0.118 0.382 0.000
0.170 0.670 0.500
0.670 0.830 0.500
0.830 0.330 0.500
0.330 0.170 0.500
```

***

Entry 8:
Entry from Alexandria: crystalline GeBi2Pb at its relaxed geometry (PBE-GGA).

Total energy = -15.47 eV/cell
ΔE_f = 0.155 eV/atom
Size of the total moment = 0.00 μB per cell
Symmetry = R-3m (166)

Structure (POSCAR):
```
GeBi2Pb
1.0
4.224 0.000 0.000
2.112 3.658 0.000
2.112 1.219 7.954
Pb Ge Bi
1 1 2
Direct
0.500 0.500 0.500
0.000 0.000 0.000
0.261 0.261 0.216
0.739 0.739 0.784
```

***

Entry 9:
Entry from Alexandria: crystalline GeBi2Pb at its relaxed geometry (PBE-GGA).

Total energy = -15.31 eV/cell
ΔE_f = 0.195 eV/atom
Size of the total moment = 0.00 μB per cell
Symmetry = P4/mmm (123)

Structure (POSCAR):
```
GeBi2Pb
1.0
4.858 0.000 0.000
0.000 4.888 0.000
0.000 0.000 4.888
Pb Ge Bi
1 1 2
Direct
0.500 0.000 0.000
0.500 0.500 0.500
0.000 0.000 0.500
0.000 0.500 0.000
```

***

Entry 10:
Entry from Alexandria: crystalline Ge2BiPb2 at its relaxed geometry (PBE-GGA).

Total energy = -19.06 eV/cell
ΔE to the lowest computed polymorph = 0.73 eV per formula unit
ΔE_f = 0.295 eV/atom
Size of the total moment = 0.00 μB per cell
Symmetry = I4/mmm (139)

Structure (POSCAR):
```
Ge2BiPb2
1.0
-1.844 3.539 2.296
-3.017 -2.858 1.982
1.891 -0.701 7.215
Pb Ge Bi
2 2 1
Direct
0.750 0.250 0.500
0.250 0.750 0.500
0.407 0.407 0.185
0.593 0.593 0.815
0.000 0.000 0.000
```

***

Entry 11:
Entry from Alexandria: crystalline Ge2Bi2Pb at its relaxed geometry (PBE-GGA).

Total energy = -19.73 eV/cell
ΔE to the lowest computed polymorph = 0.00 eV per formula unit
ΔE_f = 0.195 eV/atom
Size of the total moment = 0.00 μB per cell
Symmetry = I4/mmm (139)

Structure (POSCAR):
```
Ge2Bi2Pb
1.0
-0.374 -3.892 -0.787
2.881 0.278 -2.744
7.290 -3.630 4.386
Pb Ge Bi
1 2 2
Direct
0.000 0.000 0.000
0.750 0.250 0.500
0.250 0.750 0.500
0.391 0.391 0.218
0.609 0.609 0.782
```

***

Entry 12:
Entry from Alexandria: crystalline Ge2BiPb at its relaxed geometry (PBE-GGA).

Total energy = -31.26 eV/cell
ΔE to the lowest computed polymorph = 0.12 eV per formula unit
ΔE_f = 0.299 eV/atom
Size of the total moment = 0.00 μB per cell
Symmetry = I-42d (122)

Structure (POSCAR):
```
Ge2BiPb
1.0
-5.930 -2.032 1.877
1.663 -6.167 -1.422
0.092 -4.917 6.374
Pb Ge Bi
2 4 2
Direct
0.500 0.500 0.000
0.250 0.750 0.500
0.622 0.125 0.250
0.128 0.625 0.250
0.375 0.378 0.750
0.875 0.872 0.750
0.000 0.000 0.000
0.750 0.250 0.500
```